w.
The following is a DFT calculation (GGA+U) of an optimized crystal structure of MgMn2O4.

- Fermi-level density of states: 0.055 states/eV per atom
- Total magnetization: 32.00 μB per cell
- Crystal system: monoclinic

Cell: 10.351 6.093 6.087 Å, 90.00 125.06 90.00°
Space group Cm (No. 8)
Inequivalent atoms, fractional coordinates:
Mg (0.000, 0.000, 0.000) (multiplicity 2)
Mg (0.125, 0.500, 0.396) (multiplicity 2)
Mn (0.125, 0.500, 0.899) (multiplicity 2)
Mn (0.247, 0.000, 0.792) (multiplicity 2)
Mn (0.373, 0.251, 0.397) (multiplicity 4)
O (0.109, 0.278, 0.646) (multiplicity 4)
O (0.138, 0.274, 0.147) (multiplicity 4)
O (0.355, 0.500, 0.116) (multiplicity 2)
O (0.368, 0.500, 0.598) (multiplicity 2)
O (0.382, 0.000, 0.202) (multiplicity 2)
O (0.396, 0.000, 0.678) (multiplicity 2)

=====

x.
The following is a DFT calculation (GGA+U) of an optimized crystal structure of MgMn2O4.

- Total magnetization: 32.00 μB per cell
- Crystal system: tetragonal

Cell: 5.823 5.823 9.424 Å, 90.00 90.00 90.00°
Space group I4_1/amd (No. 141, origin choice 2)
Inequivalent atoms, fractional coordinates:
Mg (0.000, 0.250, 0.375) (multiplicity 4)
Mn (0.000, 0.000, 0.000) (multiplicity 8)
O (0.000, 0.023, 0.754) (multiplicity 16)

=====

y.
The following is a DFT calculation (GGA+U) of an optimized crystal structure of MgMn2O4.

- Total magnetization: 64.00 μB per cell
- Crystal system: monoclinic

Cell: 10.044 5.700 10.893 Å, 90.00 90.37 90.00°
Space group C2/c (No. 15)
Inequivalent atoms, fractional coordinates:
Mg (0.000, 0.011, 0.250) (multiplicity 4)
Mg (0.250, 0.250, 0.500) (multiplicity 4)
Mn (0.028, 0.252, 0.983) (multiplicity 8)
Mn (0.223, 0.493, 0.236) (multiplicity 8)
O (0.099, 0.015, 0.579) (multiplicity 8)
O (0.111, 0.486, 0.566) (multiplicity 8)
O (0.141, 0.238, 0.817) (multiplicity 8)
O (0.149, 0.230, 0.328) (multiplicity 8)

=====

z.
The following is a DFT calculation (GGA+U) of an optimized crystal structure of MgMn2O4.

- Total magnetization: 32.00 μB per cell
- Crystal system: monoclinic

Cell: 5.720 10.862 5.757 Å, 90.00 118.82 90.00°
Space group P2_1/c (No. 14)
Inequivalent atoms, fractional coordinates:
Mg (0.161, 0.114, 0.043) (multiplicity 4)
Mn (0.122, 0.621, 0.006) (multiplicity 4)
Mn (0.430, 0.143, 0.595) (multiplicity 4)
O (0.071, 0.209, 0.339) (multiplicity 4)
O (0.228, 0.555, 0.744) (multiplicity 4)
O (0.229, 0.053, 0.734) (multiplicity 4)
O (0.475, 0.691, 0.182) (multiplicity 4)

=====

Short version: x is the most stable of them.